16
Lattice="8.0089 0.0000 0.0000 0.0000 8.0089 0.0000 0.0000 0.0000 8.8430" Properties=species:S:1:pos:R:3 comment="Sr2CoI | Alexandria via LeMat-Bulk | PBE | relaxed" dos_ef_per_ev_atom=0.000 relative_energy_mev_per_atom=0 e_form_raw_ev_per_fu=-0.08 e_tot_ev_per_atom=-3.024 crystal_system=tetragonal rho_g_cm3=4.23 pbc="T T T"
Sr 1.4949 2.0022 1.1054
Sr 2.0022 5.4993 3.3161
Sr 2.0022 6.5140 7.7376
Sr 2.5096 2.0022 5.5269
Sr 5.4993 6.0067 5.5269
Sr 6.0067 1.4949 7.7376
Sr 6.0067 2.5096 3.3161
Sr 6.5140 6.0067 1.1054
Co 0.0000 0.0000 0.0000
Co 0.0000 4.0044 2.2107
Co 4.0044 0.0000 6.6322
Co 4.0044 4.0044 4.4215
I 0.0000 0.0000 4.4215
I 0.0000 4.0044 6.6322
I 4.0044 0.0000 2.2107
I 4.0044 4.0044 0.0000